Record 1
Compound: AcZnTe2
Source: the Alexandria database
Functional: PBE-GGA
Structure: optimized geometry

Output
Raw formation energy (eV/atom): -0.732
Electronic total energy (eV/atom): -3.649
Magnetic moment (μB per atom): 0.000
V (Å³ per atom): 45.482
Space-group type: R-3m

a = 4.826 Å, b = 4.826 Å, c = 9.441 Å
α = 75.19°, β = 75.19°, γ = 60.00°
Sites, in units of the cell vectors:
Zn 0.000 0.000 0.000
Te 0.902 0.902 0.295
Ac 0.500 0.500 0.500
Te 0.098 0.098 0.705


Record 2
Compound: ScSn3
Source: the Alexandria database
Functional: PBE-GGA
Structure: optimized geometry

Output
Electronic total energy (eV/atom): -4.831
Magnetic moment (μB per atom): 0.000
V (Å³ per atom): 24.874
Space-group type: Imm2
ΔH_f (0 K) (eV per atom): -0.2455

a = 3.405 Å, b = 5.407 Å, c = 6.279 Å
α = 115.50°, β = 105.73°, γ = 90.00°
Sites, in units of the cell vectors:
Sn 0.740 0.084 0.480
Sn 0.500 0.479 0.000
Sn 0.260 0.605 0.520
Sc 0.000 0.998 0.000


Record 3
Compound: Ca2PtF
Source: the Alexandria database
Functional: PBE-GGA
Structure: optimized geometry

Output
Polymorph energy (0 for the lowest one) (eV/atom): 0.740
Raw formation energy (eV/atom): -1.012
Electronic total energy (eV/atom): -3.991
Magnetic moment (μB per atom): 0.179
V (Å³ per atom): 21.280
Space-group type: R-3m

a = 3.371 Å, b = 3.371 Å, c = 8.865 Å
α = 79.04°, β = 79.04°, γ = 60.00°
Sites, in units of the cell vectors:
Ca 0.899 0.899 0.302
Ca 0.101 0.101 0.698
Pt 0.000 0.000 0.000
F 0.500 0.500 0.500


Record 4
Compound: InTc2W
Source: the Alexandria database
Functional: PBE-GGA
Structure: optimized geometry

Output
Electronic total energy (eV/atom): -8.824
Magnetic moment (μB per atom): 0.000
V (Å³ per atom): 16.515
Space-group type: R-3m
ΔH_f (0 K) (eV per atom): 0.2815

a = 9.202 Å, b = 9.202 Å, c = 9.202 Å
α = 18.16°, β = 18.16°, γ = 18.16°
Sites, in units of the cell vectors:
W 0.250 0.250 0.250
Tc 0.995 0.995 0.995
In 0.750 0.750 0.750
Tc 0.505 0.505 0.505


Record 5
Compound: SrDyCu2Si2
Source: the Alexandria database
Functional: PBE-GGA
Structure: optimized geometry

Output
Raw formation energy (eV/atom): -0.514
Electronic total energy (eV/atom): -4.734
Magnetic moment (μB per atom): 0.000
V (Å³ per atom): 20.758
Space-group type: P-3m1

a = 4.125 Å, b = 4.125 Å, c = 8.452 Å
α = 90.00°, β = 90.00°, γ = 120.00°
Sites, in units of the cell vectors:
Cu 0.667 0.333 0.275
Sr 0.000 0.000 0.000
Si 0.333 0.667 0.274
Cu 0.333 0.667 0.725
Si 0.667 0.333 0.726
Dy 0.000 0.000 0.500


Record 6
Compound: HgAsBr2
Source: the Alexandria database
Functional: PBE-GGA
Structure: optimized geometry

Output
Polymorph energy (0 for the lowest one) (eV/atom): 0.350
Raw formation energy (eV/atom): 0.225
Electronic total energy (eV/atom): -1.849
Magnetic moment (μB per atom): 0.109
V (Å³ per atom): 27.724
Space-group type: Pmmm

a = 3.697 Å, b = 6.815 Å, c = 4.401 Å
α = 90.00°, β = 90.00°, γ = 90.00°
Sites, in units of the cell vectors:
As 0.000 0.500 0.500
Hg 0.500 0.000 0.500
Br 0.500 0.500 0.000
Br 0.000 0.000 0.000


Record 7
Compound: VOs2
Source: the Alexandria database
Functional: PBE-GGA
Structure: optimized geometry

Output
Electronic total energy (eV/atom): -10.552
Magnetic moment (μB per atom): 0.000
V (Å³ per atom): 14.292
Space-group type: I4/mmm
ΔH_f (0 K) (eV per atom): -0.0257

a = 2.713 Å, b = 2.713 Å, c = 6.133 Å
α = 102.78°, β = 102.78°, γ = 90.00°
Sites, in units of the cell vectors:
Os 0.329 0.329 0.658
V 0.000 0.000 0.000
Os 0.671 0.671 0.342


Record 8
Compound: MgIrF
Source: the Alexandria database
Functional: PBE-GGA
Structure: optimized geometry

Output
Polymorph energy (0 for the lowest one) (eV/atom): 0.329
Raw formation energy (eV/atom): -1.343
Electronic total energy (eV/atom): -5.452
Magnetic moment (μB per atom): 0.000
V (Å³ per atom): 16.005
Space-group type: Amm2

a = 2.786 Å, b = 2.787 Å, c = 14.280 Å
α = 90.00°, β = 90.00°, γ = 120.00°
Sites, in units of the cell vectors:
Mg 0.554 0.108 0.000
Ir 0.221 0.442 0.848
F 0.668 0.336 0.419
Ir 0.221 0.442 0.152
F 0.668 0.336 0.581
Mg 0.335 0.669 0.500


Record 9
Compound: Tb2Sm3Dy6Er
Source: the Alexandria database
Functional: PBE-GGA
Structure: optimized geometry

Output
Electronic total energy (eV/atom): -4.617
Magnetic moment (μB per atom): 0.000
V (Å³ per atom): 31.926
Space-group type: C2/m
ΔH_f (0 K) (eV per atom): 0.0155

a = 6.170 Å, b = 6.170 Å, c = 11.797 Å
α = 94.98°, β = 94.98°, γ = 119.96°
Sites, in units of the cell vectors:
Sm 0.500 0.500 0.500
Dy 0.917 0.584 0.752
Sm 0.167 0.833 0.500
Tb 0.333 0.667 0.000
Tb 0.667 0.333 0.000
Dy 0.083 0.416 0.248
Dy 0.416 0.083 0.248
Er 0.000 0.000 0.000
Dy 0.584 0.917 0.752
Dy 0.250 0.250 0.752
Dy 0.750 0.750 0.248
Sm 0.833 0.167 0.500


Record 10
Compound: Al5Co4Ni
Source: the Alexandria database
Functional: PBE-GGA
Structure: optimized geometry

Output
Electronic total energy (eV/atom): -5.902
Magnetic moment (μB per atom): 0.000
V (Å³ per atom): 11.720
Space-group type: P4/mmm
ΔH_f (0 K) (eV per atom): -0.6098

a = 2.836 Å, b = 2.836 Å, c = 14.572 Å
α = 90.00°, β = 90.00°, γ = 90.00°
Sites, in units of the cell vectors:
Ni 0.000 0.000 0.000
Al 0.500 0.500 0.897
Co 0.000 0.000 0.203
Co 0.000 0.000 0.401
Al 0.500 0.500 0.698
Al 0.500 0.500 0.103
Co 0.000 0.000 0.797
Al 0.500 0.500 0.500
Al 0.500 0.500 0.302
Co 0.000 0.000 0.599


Record 11
Compound: Ti2ReAg
Source: the Alexandria database
Functional: PBE-GGA
Structure: optimized geometry

Output
Polymorph energy (0 for the lowest one) (eV/atom): 0.103
Electronic total energy (eV/atom): -7.880
Magnetic moment (μB per atom): 0.000
V (Å³ per atom): 15.978
Space-group type: P4/mmm
ΔH_f (0 K) (eV per atom): -0.1077

a = 3.232 Å, b = 4.447 Å, c = 4.447 Å
α = 90.00°, β = 90.00°, γ = 90.00°
Sites, in units of the cell vectors:
Ag 0.500 0.000 0.000
Ti 0.000 0.500 0.000
Ti 0.000 0.000 0.500
Re 0.500 0.500 0.500


Record 12
Compound: KZr2Co
Source: the Alexandria database
Functional: PBE-GGA
Structure: optimized geometry

Output
Polymorph energy (0 for the lowest one) (eV/atom): 0.075
Electronic total energy (eV/atom): -5.988
Magnetic moment (μB per atom): 0.000
V (Å³ per atom): 28.020
Space-group type: Pm
ΔH_f (0 K) (eV per atom): 0.3365

a = 3.530 Å, b = 3.546 Å, c = 9.121 Å
α = 79.10°, β = 90.00°, γ = 90.00°
Sites, in units of the cell vectors:
Co 0.000 0.755 0.372
Zr 0.000 0.890 0.095
K 0.500 0.574 0.715
Zr 0.500 0.281 0.318


Copy entry 7 word for word.
Compound: VOs2
Source: the Alexandria database
Functional: PBE-GGA
Structure: optimized geometry

Output
Electronic total energy (eV/atom): -10.552
Magnetic moment (μB per atom): 0.000
V (Å³ per atom): 14.292
Space-group type: I4/mmm
ΔH_f (0 K) (eV per atom): -0.0257

a = 2.713 Å, b = 2.713 Å, c = 6.133 Å
α = 102.78°, β = 102.78°, γ = 90.00°
Sites, in units of the cell vectors:
Os 0.329 0.329 0.658
V 0.000 0.000 0.000
Os 0.671 0.671 0.342